Entry from Alexandria: a geometry-optimized VCoF5 structure (PBE+U).

SG: No. 71
Mass density: 3.53 g/cm3
Crystal system: orthorhombic
Electronic total energy: -5.606 eV/atom
V: 13.8 Å³ per atom

a b c (Å): 5.395 5.395 5.395
angles (deg): 137.96 107.07 87.93
Atoms (fractional coordinates):
1 V 0.000 0.000 0.000
2 Co 0.500 0.500 0.000
3 F 0.000 0.500 0.500
4 F 0.252 0.252 0.000
5 F 0.307 0.000 0.307
6 F 0.693 0.000 0.693
7 F 0.748 0.748 0.000